(1)
Entry from the Alexandria database: a geometry-optimized K3NaB12O20 structure (PBE).

Cell: 6.719 9.315 21.020 Å, 86.19 89.69 90.11°
Element x y z (fractional)
K 0.307 0.774 0.534
K 0.797 0.225 0.965
K 0.705 0.225 0.468
K 0.193 0.772 0.033
K 0.322 0.589 0.382
K 0.823 0.413 0.118
K 0.685 0.414 0.619
K 0.178 0.591 0.880
K 0.985 0.925 0.257
Na 0.495 0.067 0.248
Na 0.994 0.071 0.748
Na 0.495 0.931 0.752
B 0.701 0.994 0.624
B 0.196 0.009 0.876
B 0.310 0.012 0.380
B 0.789 0.995 0.118
B 0.002 0.851 0.415
B 0.487 0.153 0.084
B 0.008 0.155 0.590
B 0.501 0.849 0.911
B 0.979 0.574 0.280
B 0.483 0.408 0.220
B 0.027 0.417 0.722
B 0.526 0.586 0.778
B 0.758 0.756 0.577
B 0.248 0.249 0.921
B 0.250 0.247 0.427
B 0.738 0.754 0.073
B 0.789 0.344 0.286
B 0.297 0.640 0.216
B 0.211 0.652 0.716
B 0.709 0.351 0.784
B 0.649 0.890 0.394
B 0.135 0.111 0.105
B 0.359 0.114 0.612
B 0.854 0.888 0.889
B 0.755 0.676 0.466
B 0.246 0.324 0.032
B 0.255 0.325 0.538
B 0.745 0.677 0.963
B 0.925 0.806 0.675
B 0.420 0.198 0.824
B 0.080 0.197 0.330
B 0.570 0.803 0.172
B 0.788 0.508 0.376
B 0.294 0.483 0.125
B 0.214 0.491 0.626
B 0.708 0.511 0.874
O 0.602 0.774 0.434
O 0.090 0.226 0.063
O 0.407 0.226 0.569
O 0.899 0.776 0.931
O 0.734 0.535 0.437
O 0.234 0.462 0.064
O 0.273 0.466 0.566
O 0.764 0.537 0.935
O 0.198 0.883 0.405
O 0.684 0.125 0.094
O 0.811 0.122 0.600
O 0.305 0.882 0.902
O 0.918 0.215 0.292
O 0.415 0.777 0.212
O 0.085 0.784 0.714
O 0.583 0.220 0.786
O 0.684 0.893 0.573
O 0.175 0.112 0.927
O 0.329 0.112 0.431
O 0.802 0.893 0.066
O 0.721 0.386 0.350
O 0.231 0.604 0.152
O 0.274 0.615 0.652
O 0.769 0.388 0.848
O 0.958 0.738 0.458
O 0.445 0.260 0.038
O 0.053 0.262 0.545
O 0.544 0.741 0.956
O 0.879 0.711 0.628
O 0.370 0.295 0.870
O 0.119 0.290 0.378
O 0.622 0.706 0.126
O 0.803 0.924 0.682
O 0.300 0.077 0.818
O 0.211 0.084 0.323
O 0.681 0.928 0.175
O 0.907 0.607 0.340
O 0.414 0.382 0.159
O 0.097 0.390 0.661
O 0.593 0.613 0.839
O 0.850 0.932 0.384
O 0.335 0.075 0.117
O 0.158 0.079 0.625
O 0.653 0.924 0.876
O 0.906 0.460 0.250
O 0.421 0.526 0.249
O 0.094 0.534 0.751
O 0.594 0.470 0.748
O 0.617 0.308 0.246
O 0.126 0.666 0.257
O 0.388 0.684 0.754
O 0.887 0.319 0.746
O 0.512 0.971 0.359
O 0.994 0.028 0.136
O 0.498 0.031 0.645
O 0.994 0.970 0.856
O 0.713 0.655 0.534
O 0.203 0.350 0.964
O 0.299 0.348 0.469
O 0.787 0.653 0.031

Values from the calculation:
- space-group type = P1, No. 1
- M_tot (Bohr magnetons per cell) = 0.0
- raw formation energy (meV/atom) = -2421
- E_tot (eV/atom) = -7.530
- DOS(E_F) (states/eV per atom) = 0.00

=====

(2)
Entry from the Alexandria database: a geometry-optimized K2NaB9O15 structure (PBE).

Cell: 6.712 9.241 20.900 Å, 93.98 90.00 90.00°
Element x y z (fractional)
K 0.679 0.415 0.381
K 0.198 0.779 0.968
K 0.179 0.585 0.119
K 0.321 0.585 0.619
K 0.302 0.779 0.468
K 0.821 0.415 0.881
K 0.698 0.221 0.532
K 0.802 0.221 0.032
Na 0.008 0.069 0.255
Na 0.508 0.931 0.245
Na 0.992 0.931 0.745
Na 0.492 0.069 0.755
B 0.247 0.242 0.577
B 0.573 0.805 0.825
B 0.251 0.322 0.465
B 0.789 0.509 0.624
B 0.495 0.155 0.909
B 0.857 0.886 0.113
B 0.283 0.651 0.785
B 0.531 0.585 0.222
B 0.717 0.349 0.215
B 0.143 0.114 0.887
B 0.747 0.758 0.923
B 0.469 0.415 0.778
B 0.217 0.651 0.285
B 0.749 0.678 0.535
B 0.505 0.845 0.091
B 0.783 0.349 0.715
B 0.995 0.845 0.591
B 0.199 0.005 0.126
B 0.427 0.195 0.175
B 0.751 0.678 0.035
B 0.699 0.995 0.374
B 0.249 0.322 0.965
B 0.927 0.805 0.325
B 0.753 0.758 0.423
B 0.031 0.415 0.278
B 0.005 0.155 0.409
B 0.711 0.509 0.124
B 0.357 0.114 0.387
B 0.289 0.491 0.876
B 0.969 0.585 0.722
B 0.301 0.005 0.626
B 0.801 0.995 0.874
B 0.253 0.242 0.077
B 0.643 0.886 0.613
B 0.073 0.195 0.675
B 0.211 0.491 0.376
O 0.503 0.967 0.647
O 0.404 0.223 0.432
O 0.705 0.657 0.466
O 0.732 0.536 0.563
O 0.408 0.390 0.841
O 0.278 0.613 0.350
O 0.722 0.387 0.650
O 0.050 0.258 0.458
O 0.592 0.610 0.159
O 0.380 0.289 0.127
O 0.550 0.742 0.042
O 0.950 0.742 0.542
O 0.222 0.613 0.850
O 0.411 0.782 0.787
O 0.768 0.536 0.063
O 0.105 0.684 0.747
O 0.497 0.033 0.353
O 0.205 0.343 0.034
O 0.803 0.923 0.317
O 0.089 0.782 0.287
O 0.120 0.289 0.627
O 0.192 0.875 0.601
O 0.096 0.223 0.932
O 0.232 0.464 0.937
O 0.795 0.657 0.966
O 0.345 0.081 0.874
O 0.997 0.967 0.147
O 0.911 0.218 0.713
O 0.692 0.125 0.899
O 0.104 0.531 0.249
O 0.908 0.610 0.659
O 0.177 0.105 0.073
O 0.620 0.711 0.873
O 0.845 0.919 0.626
O 0.395 0.684 0.247
O 0.197 0.077 0.683
O 0.677 0.895 0.427
O 0.268 0.464 0.437
O 0.895 0.316 0.253
O 0.655 0.919 0.126
O 0.605 0.316 0.753
O 0.396 0.531 0.749
O 0.904 0.777 0.068
O 0.778 0.387 0.150
O 0.896 0.469 0.751
O 0.450 0.258 0.958
O 0.092 0.390 0.341
O 0.003 0.033 0.853
O 0.596 0.777 0.568
O 0.323 0.105 0.573
O 0.589 0.218 0.213
O 0.308 0.875 0.101
O 0.823 0.895 0.927
O 0.880 0.711 0.373
O 0.604 0.469 0.251
O 0.303 0.077 0.183
O 0.295 0.343 0.534
O 0.697 0.923 0.817
O 0.155 0.081 0.374
O 0.808 0.125 0.399

Values from the calculation:
- space-group type = P2_1/c, No. 14
- M_tot (Bohr magnetons per cell) = 0.0
- raw formation energy (meV/atom) = -2421
- E_tot (eV/atom) = -7.532
- DOS(E_F) (states/eV per atom) = 0.00

=====

(3)
Entry from the Alexandria database: a geometry-optimized KNaBO2 structure (PBE).

Cell: 5.397 7.541 7.093 Å, 62.45 90.00 90.00°
Element x y z (fractional)
K 0.221 0.500 0.750
K 0.779 0.500 0.250
Na 0.500 0.000 0.250
Na 0.500 0.000 0.750
B 0.000 0.000 0.000
B 0.000 0.000 0.500
O 0.785 0.922 0.039
O 0.785 0.078 0.461
O 0.215 0.922 0.539
O 0.215 0.078 0.961

Values from the calculation:
- space-group type = P2/c, No. 13
- M_tot (Bohr magnetons per cell) = 0.0
- raw formation energy (meV/atom) = -1659
- E_tot (eV/atom) = -5.461
- DOS(E_F) (states/eV per atom) = 0.23

=====

Question: M_tot of number 1 (K3NaB12O20)?
Answer: 0.0 Bohr magnetons per cell

=====

Question: Which formula does entry 2 have?
Answer: K2NaB9O15